1.
The following is a PBE-GGA calculation of a relaxed TlAgOs2 crystal, from Alexandria via LeMat-Bulk.

CIF file:
```
data_TlAgOs2
_cell_length_a 2.830
_cell_length_b 4.779
_cell_length_c 10.976
_cell_angle_alpha 90.00
_cell_angle_beta 90.00
_cell_angle_gamma 90.00
_symmetry_space_group_name_H-M 'I m m 2'
_symmetry_Int_Tables_number 44
loop_
_symmetry_equiv_pos_as_xyz
'x,y,z'
'-x,-y,z'
'-x,y,z'
'x,-y,z'
'x+1/2,y+1/2,z+1/2'
'-x+1/2,-y+1/2,z+1/2'
'-x+1/2,y+1/2,z+1/2'
'x+1/2,-y+1/2,z+1/2'
loop_
_atom_site_label
_atom_site_fract_x
_atom_site_fract_y
_atom_site_fract_z
_atom_site_occupancy
Tl1 0.000 0.000 0.000 1
Ag1 0.000 0.500 0.804 1
Os1 0.000 0.000 0.572 1
Os2 0.000 0.500 0.258 1
```

Results
The energy relative to the elements comes out at 0.91 eV/atom. Its size of the total moment is 0.000 μB per cell.



2.
The following is a PBE-GGA calculation of a relaxed CuNi crystal, from Alexandria via LeMat-Bulk.

CIF file:
```
data_CuNi
_cell_length_a 2.5169
_cell_length_b 2.5169
_cell_length_c 24.8146
_cell_angle_alpha 90.00
_cell_angle_beta 90.00
_cell_angle_gamma 120.00
_symmetry_space_group_name_H-M 'R -3 m'
_symmetry_Int_Tables_number 166
_symmetry_space_group_name_Hall '-R 3 2"'
loop_
_atom_site_label
_atom_site_fract_x
_atom_site_fract_y
_atom_site_fract_z
_atom_site_occupancy
Cu1 0.0000 0.0000 0.1239 1
Ni1 0.0000 0.0000 0.3737 1
```

Results
The energy relative to the elements comes out at 0.02 eV/atom. Its size of the total moment is 2.932 μB per cell.



3.
The following is a PBE-GGA calculation of a relaxed MnReSb2 crystal, from Alexandria via LeMat-Bulk.

CIF file:
```
data_MnReSb2
_cell_length_a 3.1127
_cell_length_b 3.1127
_cell_length_c 31.1825
_cell_angle_alpha 90.00
_cell_angle_beta 90.00
_cell_angle_gamma 120.00
_symmetry_space_group_name_H-M 'R 3 m'
_symmetry_Int_Tables_number 160
_symmetry_space_group_name_Hall 'R 3 -2"'
loop_
_atom_site_label
_atom_site_fract_x
_atom_site_fract_y
_atom_site_fract_z
_atom_site_occupancy
Mn1 0.0000 0.0000 0.0000 1
Re1 0.0000 0.0000 0.2728 1
Sb1 0.0000 0.0000 0.5372 1
Sb2 0.0000 0.0000 0.7365 1
```

Results
Its size of the total moment is 8.596 μB per cell. The calculation puts the uncorrected formation energy at 0.377 eV per atom.



4.
The following is a PBE-GGA calculation of a relaxed K4CeBi3S8 crystal, from Alexandria via LeMat-Bulk.

CIF file:
```
data_K4CeBi3S8
_cell_length_a 8.3671
_cell_length_b 8.3671
_cell_length_c 22.1949
_cell_angle_alpha 90.00
_cell_angle_beta 90.00
_cell_angle_gamma 120.00
_symmetry_space_group_name_H-M 'R -3 m'
_symmetry_Int_Tables_number 166
_symmetry_space_group_name_Hall '-R 3 2"'
loop_
_atom_site_label
_atom_site_fract_x
_atom_site_fract_y
_atom_site_fract_z
_atom_site_occupancy
K1 0.0000 0.0000 0.0000 1
K2 0.0000 0.5000 0.0000 1
Ce1 0.0000 0.0000 0.5000 1
Bi1 0.0000 0.5000 0.5000 1
S1 0.0000 0.0000 0.2368 1
S2 0.0018 0.5009 0.2363 1
```

Results
Its size of the total moment is 2.711 μB per cell. The calculation puts the uncorrected formation energy at -1.051 eV per atom.